{"formula": "Sc2AlGa3Ir2", "functional": "PBE", "state": "optimized geometry", "cell": [[0.510, 5.235, 0.535], [-2.310, 4.111, -2.392], [-4.822, -0.036, 4.660]], "species": ["Al", "Ir", "Ir", "Ga", "Ga", "Ga", "Sc", "Sc"], "fractional_positions": [[0.640, 0.640, 0.947], [0.202, 0.202, 0.750], [0.793, 0.793, 0.252], [0.366, 0.366, 0.450], [0.630, 0.630, 0.550], [0.369, 0.369, 0.050], [0.920, 0.920, 0.750], [0.082, 0.082, 0.252]], "space_group": "Cm"}

{"formula": "Sc2AlGaIr4", "functional": "PBE", "state": "optimized geometry", "cell": [[-3.416, -2.449, 1.364], [0.803, -2.914, -3.223], [3.801, -3.175, 3.818]], "species": ["Ir", "Ir", "Ir", "Ir", "Ga", "Sc", "Sc", "Al"], "fractional_positions": [[0.500, 0.000, 0.748], [0.000, 0.500, 0.748], [0.000, 0.500, 0.252], [0.500, 0.000, 0.252], [0.500, 0.500, 0.000], [0.500, 0.500, 0.500], [0.000, 0.000, 0.000], [0.000, 0.000, 0.500]], "space_group": "P4/mmm"}

{"formula": "SmAlGa4Ir", "functional": "PBE", "state": "optimized geometry", "cell": [[4.368, 0.000, 0.000], [0.000, 4.368, 0.000], [0.000, 0.000, 6.923]], "species": ["Ga", "Ga", "Ga", "Ga", "Sm", "Ir", "Al"], "fractional_positions": [[0.500, 0.000, 0.304], [0.000, 0.500, 0.696], [0.000, 0.500, 0.304], [0.500, 0.000, 0.696], [0.000, 0.000, 0.000], [0.000, 0.000, 0.500], [0.500, 0.500, 0.000]], "space_group": "P4/mmm"}

{"formula": "SmAl4GaIr", "functional": "PBE", "state": "optimized geometry", "cell": [[-3.972, -1.300, -1.072], [1.479, -4.005, -0.623], [-1.313, -1.529, 6.715]], "species": ["Ga", "Ir", "Al", "Al", "Al", "Al", "Sm"], "fractional_positions": [[0.500, 0.500, 0.000], [0.000, 0.000, 0.500], [0.500, 0.000, 0.692], [0.000, 0.500, 0.308], [0.500, 0.000, 0.308], [0.000, 0.500, 0.692], [0.000, 0.000, 0.000]], "space_group": "P4/mmm"}

{"formula": "SrAl3GaIr", "functional": "PBE", "state": "optimized geometry", "cell": [[7.858, 0.000, 0.000], [0.000, 4.148, 0.000], [0.000, 0.000, 7.290]], "species": ["Ir", "Ir", "Al", "Al", "Al", "Al", "Al", "Al", "Ga", "Ga", "Sr", "Sr"], "fractional_positions": [[0.750, 0.500, 0.312], [0.250, 0.500, 0.688], [0.572, 0.000, 0.209], [0.072, 0.000, 0.791], [0.928, 0.000, 0.209], [0.000, 0.500, 0.500], [0.500, 0.500, 0.500], [0.428, 0.000, 0.791], [0.250, 0.000, 0.440], [0.750, 0.000, 0.560], [0.250, 0.500, 0.116], [0.750, 0.500, 0.884]], "space_group": "Pmma"}

{"formula": "SrAl3GaIr", "functional": "PBE", "state": "optimized geometry", "cell": [[8.022, 0.000, 0.000], [0.000, 4.111, 0.000], [0.000, 0.000, 7.283]], "species": ["Ir", "Ir", "Al", "Al", "Al", "Al", "Al", "Al", "Sr", "Sr", "Ga", "Ga"], "fractional_positions": [[0.250, 0.000, 0.185], [0.750, 0.000, 0.815], [0.750, 0.500, 0.046], [0.930, 0.500, 0.704], [0.070, 0.500, 0.296], [0.250, 0.500, 0.954], [0.430, 0.500, 0.296], [0.570, 0.500, 0.704], [0.750, 0.000, 0.383], [0.250, 0.000, 0.617], [0.500, 0.000, 0.000], [0.000, 0.000, 0.000]], "space_group": "Pmma"}

{"formula": "Sr2AlGa2Ir", "functional": "PBE", "state": "optimized geometry", "cell": [[-2.875, -0.179, -3.236], [-1.118, -4.005, 1.215], [-5.379, 2.902, 4.619]], "species": ["Ga", "Ga", "Sr", "Sr", "Ir", "Al"], "fractional_positions": [[0.500, 0.000, 0.193], [0.000, 0.500, 0.807], [0.000, 0.500, 0.327], [0.500, 0.000, 0.673], [0.500, 0.500, 0.000], [0.000, 0.000, 0.000]], "space_group": "P-4m2"}

{"formula": "Tb2AlGaIr4", "functional": "PBE", "state": "optimized geometry", "cell": [[-1.231, 0.778, 4.068], [1.053, -4.012, -1.209], [8.675, 1.576, 2.323]], "species": ["Al", "Ir", "Ir", "Ir", "Ir", "Ga", "Tb", "Tb"], "fractional_positions": [[0.000, 0.000, 0.000], [0.333, 0.667, 0.918], [0.667, 0.333, 0.416], [0.667, 0.333, 0.082], [0.333, 0.667, 0.584], [0.000, 0.000, 0.500], [0.333, 0.667, 0.251], [0.667, 0.333, 0.749]], "space_group": "P-3m1"}

{"formula": "Tm2AlGaIr4", "functional": "PBE", "state": "optimized geometry", "cell": [[-2.136, -1.281, 3.507], [4.301, 0.049, 0.000], [-0.096, 8.399, 3.009]], "species": ["Ir", "Ir", "Ir", "Ir", "Ga", "Al", "Tm", "Tm"], "fractional_positions": [[0.333, 0.667, 0.588], [0.333, 0.667, 0.913], [0.667, 0.333, 0.412], [0.667, 0.333, 0.087], [0.000, 0.000, 0.000], [0.000, 0.000, 0.500], [0.667, 0.333, 0.750], [0.333, 0.667, 0.250]], "space_group": "P-3m1"}

{"formula": "TmAlGa4Ir", "functional": "PBE", "state": "optimized geometry", "cell": [[4.329, 0.000, 0.000], [0.000, 4.329, 0.000], [0.000, 0.000, 6.786]], "species": ["Ir", "Ga", "Ga", "Ga", "Ga", "Al", "Tm"], "fractional_positions": [[0.500, 0.500, 0.500], [0.500, 0.000, 0.701], [0.000, 0.500, 0.701], [0.000, 0.500, 0.299], [0.500, 0.000, 0.299], [0.000, 0.000, 0.000], [0.500, 0.500, 0.000]], "space_group": "P4/mmm"}

{"formula": "TmAl4GaIr", "functional": "PBE", "state": "optimized geometry", "cell": [[-2.173, 0.182, -3.671], [-3.653, -0.583, 2.134], [-0.662, 6.816, 0.730]], "species": ["Al", "Al", "Al", "Al", "Ga", "Tm", "Ir"], "fractional_positions": [[0.500, 0.000, 0.697], [0.500, 0.000, 0.303], [0.000, 0.500, 0.697], [0.000, 0.500, 0.303], [0.000, 0.000, 0.000], [0.500, 0.500, 0.000], [0.500, 0.500, 0.500]], "space_group": "P4/mmm"}

{"formula": "YAl4GaIr", "functional": "PBE", "state": "optimized geometry", "cell": [[4.290, 0.000, 0.000], [0.000, 4.290, 0.000], [0.000, 0.000, 6.933]], "species": ["Al", "Al", "Al", "Al", "Y", "Ga", "Ir"], "fractional_positions": [[0.000, 0.500, 0.695], [0.500, 0.000, 0.305], [0.500, 0.000, 0.695], [0.000, 0.500, 0.305], [0.000, 0.000, 0.000], [0.500, 0.500, 0.000], [0.000, 0.000, 0.500]], "space_group": "P4/mmm"}

{"formula": "YAlGa4Ir", "functional": "PBE", "state": "optimized geometry", "cell": [[-1.035, -0.828, 4.141], [-3.430, -2.321, -1.321], [3.883, -5.648, -0.159]], "species": ["Y", "Ga", "Ga", "Ga", "Ga", "Ir", "Al"], "fractional_positions": [[0.500, 0.500, 0.000], [0.000, 0.500, 0.302], [0.500, 0.000, 0.698], [0.500, 0.000, 0.302], [0.000, 0.500, 0.698], [0.500, 0.500, 0.500], [0.000, 0.000, 0.000]], "space_group": "P4/mmm"}

{"formula": "La2AlGaNi4", "functional": "PBE", "state": "optimized geometry", "cell": [[4.220, 0.000, 0.000], [-2.110, 3.654, 0.000], [0.000, 0.000, 9.604]], "species": ["Ni", "Ni", "Ni", "Ni", "Al", "La", "La", "Ga"], "fractional_positions": [[0.333, 0.667, 0.546], [0.667, 0.333, 0.046], [0.667, 0.333, 0.454], [0.333, 0.667, 0.954], [0.000, 0.000, 0.500], [0.333, 0.667, 0.250], [0.667, 0.333, 0.750], [0.000, 0.000, 0.000]], "space_group": "P-3m1"}

{"formula": "LaAl2Ga4Pd", "functional": "PBE", "state": "optimized geometry", "cell": [[-4.289, -1.081, -0.406], [1.048, -2.987, -3.116], [0.874, -5.587, 5.649]], "species": ["La", "Ga", "Ga", "Ga", "Ga", "Al", "Al", "Pd"], "fractional_positions": [[0.000, 0.000, 0.000], [0.500, 0.000, 0.330], [0.000, 0.500, 0.670], [0.000, 0.500, 0.330], [0.500, 0.000, 0.670], [0.500, 0.500, 0.156], [0.500, 0.500, 0.844], [0.000, 0.000, 0.500]], "space_group": "P4/mmm"}

{"formula": "LaAlGaPt2", "functional": "PBE", "state": "optimized geometry", "cell": [[-3.115, -2.012, -2.431], [2.395, -3.732, 0.019], [-4.676, -2.958, 8.439]], "species": ["Ga", "Ga", "Pt", "Pt", "Pt", "Pt", "Al", "Al", "La", "La"], "fractional_positions": [[0.500, 0.500, 0.500], [0.000, 0.000, 0.500], [0.000, 0.000, 0.000], [0.500, 0.000, 0.633], [0.500, 0.500, 0.000], [0.000, 0.500, 0.367], [0.000, 0.500, 0.123], [0.500, 0.000, 0.877], [0.500, 0.000, 0.252], [0.000, 0.500, 0.748]], "space_group": "P4/nmm"}

{"formula": "LaAl2ZnGa", "functional": "PBE", "state": "optimized geometry", "cell": [[-3.710, 4.686, 1.485], [-2.075, 3.724, -4.445], [0.413, -6.046, 1.095]], "species": ["Ga", "Al", "Al", "Zn", "La"], "fractional_positions": [[0.750, 0.250, 0.500], [0.880, 0.880, 0.000], [0.120, 0.120, 0.000], [0.250, 0.750, 0.500], [0.500, 0.500, 0.000]], "space_group": "I-4m2"}

{"formula": "Li2Mg2AlGaNi2", "functional": "PBE", "state": "optimized geometry", "cell": [[-1.061, 0.123, 4.150], [-0.093, -4.283, 0.103], [5.864, -0.091, 1.502]], "species": ["Li", "Li", "Al", "Ga", "Ni", "Ni", "Mg", "Mg"], "fractional_positions": [[0.000, 0.500, 0.747], [0.500, 0.000, 0.253], [0.000, 0.000, 0.000], [0.500, 0.500, 0.500], [0.500, 0.000, 0.754], [0.000, 0.500, 0.246], [0.000, 0.000, 0.500], [0.500, 0.500, 0.000]], "space_group": "P-4m2"}

{"formula": "Li2Mg2AlGaPd2", "functional": "PBE", "state": "optimized geometry", "cell": [[4.432, 0.000, 0.000], [0.000, 4.432, 0.000], [0.000, 0.000, 6.260]], "species": ["Pd", "Pd", "Mg", "Mg", "Al", "Li", "Li", "Ga"], "fractional_positions": [[0.500, 0.000, 0.255], [0.000, 0.500, 0.745], [0.000, 0.000, 0.000], [0.500, 0.500, 0.500], [0.000, 0.000, 0.500], [0.500, 0.000, 0.753], [0.000, 0.500, 0.247], [0.500, 0.500, 0.000]], "space_group": "P-4m2"}

{"formula": "Li2Mg2AlGaPt2", "functional": "PBE", "state": "optimized geometry", "cell": [[-1.222, -1.122, 4.085], [2.705, -3.478, -0.146], [4.603, 3.481, 2.333]], "species": ["Li", "Li", "Pt", "Pt", "Mg", "Mg", "Al", "Ga"], "fractional_positions": [[0.000, 0.500, 0.252], [0.500, 0.000, 0.748], [0.000, 0.500, 0.757], [0.500, 0.000, 0.243], [0.000, 0.000, 0.000], [0.500, 0.500, 0.500], [0.500, 0.500, 0.000], [0.000, 0.000, 0.500]], "space_group": "P-4m2"}

Values for VASP energy, eV/atom, ordered as above
-6.1504; -7.7554; -4.7434; -5.1575; -4.6925; -4.6440; -4.0829; -7.0559; -7.0665; -4.6880; -5.1123; -5.4117; -4.9892; -5.3955; -4.1794; -5.8312; -3.7776; -3.4154; -3.5752; -3.9423